Compound: NbTe3Ir
Source: the Alexandria database
Functional: PBE-GGA
Structure: relaxed

a b c (Å): 5.1524 5.1524 5.1524
angles (deg): 90.00 90.00 90.00
Closest atoms and distances in Å follow each position.
Space group Pm-3m (No. 221)
Inequivalent atoms, fractional coordinates:
Nb 0.0000 0.0000 0.0000 x1  12 Te 3.64
Te 0.0000 0.5000 0.5000 x3  2 Ir 2.58
Ir 0.5000 0.5000 0.5000 x1  6 Te 2.58

ΔE to the lowest computed polymorph ... 0 meV/atom
Mass density ... 8.109 g/cm3
Energy relative to the elements, uncorrected ... 0.96 eV/atom



Compound: Nb3TeIr
Source: the Alexandria database
Functional: PBE-GGA
Structure: relaxed

a b c (Å): 4.9164 4.9164 4.9164
angles (deg): 90.00 90.00 90.00
Closest atoms and distances in Å follow each position.
Space group Pm-3m (No. 221)
Inequivalent atoms, fractional coordinates:
Nb 0.0000 0.0000 0.5000 x3  2 Te 2.46
Te 0.0000 0.0000 0.0000 x1  6 Nb 2.46
Ir 0.5000 0.5000 0.5000 x1  12 Nb 3.48

ΔE to the lowest computed polymorph ... 960 meV/atom
Mass density ... 8.364 g/cm3
Energy relative to the elements, uncorrected ... 1.74 eV/atom



Which formula does entry 1 have? NbTe3Ir